No. 1
Compound: Er5TmSc3
Source: the Alexandria database
Functional: PBE
Structure: optimized geometry

Lattice parameters (Å, degrees): 7.9745 7.9745 12.7975 60.07 60.07 89.25
Last column: nearest neighbours and their distance in Å.
Element x y z (fractional)
Er1 0.7681 0.2661 0.3508  2 Sc 3.22-3.31, 1 Tm 3.27, 2 Er 3.35-3.56
Er2 0.2560 0.7440 0.0000  3 Sc 2.87-3.20
Er3 0.6557 0.6557 0.0927  1 Tm 3.07, 4 Sc 3.18-3.25, 1 Er 3.19
Er4 0.3091 0.3091 0.4271  3 Sc 2.93-3.18, 1 Er 3.19, 1 Tm 3.21
Er5 0.6909 0.6909 0.5729  3 Sc 2.93-3.18, 1 Er 3.19, 1 Tm 3.21
Er6 0.3443 0.3443 0.9073  1 Tm 3.07, 4 Sc 3.18-3.25, 1 Er 3.19
Er7 0.2661 0.7681 0.3508  2 Sc 3.22-3.31, 1 Tm 3.27, 2 Er 3.35-3.56
Er8 0.7440 0.2560 0.0000  3 Sc 2.87-3.20
Er9 0.2319 0.7339 0.6492  2 Sc 3.22-3.31, 1 Tm 3.27, 2 Er 3.35-3.56
Er10 0.7339 0.2319 0.6492  2 Sc 3.22-3.31, 1 Tm 3.27, 2 Er 3.35-3.56
Tm1 0.9945 0.9945 0.7749  3 Sc 2.93-3.13, 4 Er 3.07-3.27
Tm2 0.0055 0.0055 0.2251  3 Sc 2.93-3.13, 4 Er 3.07-3.27
Sc1 0.6810 0.6810 0.8262  2 Sc 3.06-3.32, 1 Tm 3.13, 5 Er 3.16-3.22
Sc2 0.6611 0.6611 0.3436  2 Sc 2.98-3.23, 1 Tm 3.05, 5 Er 3.18-3.33
Sc3 0.0000 0.0000 0.0000  4 Er 2.87-3.19, 2 Tm 2.93
Sc4 0.0000 0.0000 0.5000  2 Er 2.93, 2 Sc 3.06
Sc5 0.3190 0.3190 0.1738  2 Sc 3.06-3.32, 1 Tm 3.13, 5 Er 3.16-3.22
Sc6 0.3389 0.3389 0.6564  2 Sc 2.98-3.23, 1 Tm 3.05, 5 Er 3.18-3.33

DOS(E_F) = 28.2 states/eV/cell
calculated formation energy = 0.525 eV per atom
space group = C2/m, No. 12
total magnetization = 0.0 μB/cell

***

No. 2
Compound: CaAlCu5Si2
Source: the Alexandria database
Functional: PBE
Structure: optimized geometry

Lattice parameters (Å, degrees): 4.1523 4.1523 9.2451 90.00 90.00 90.00
Last column: nearest neighbours and their distance in Å.
Element x y z (fractional)
Ca1 0.0000 0.0000 0.5000  4 Cu 2.94
Al1 0.0000 0.0000 0.0000  8 Cu 2.50
Cu1 0.0000 0.5000 0.1500  2 Si 2.32, 2 Al 2.50
Cu2 0.5000 0.0000 0.1500  2 Si 2.32, 2 Al 2.50
Cu3 0.0000 0.5000 0.8500  2 Si 2.32, 2 Al 2.50
Cu4 0.5000 0.0000 0.8500  2 Si 2.32, 2 Al 2.50
Cu5 0.5000 0.5000 0.5000  2 Si 2.21
Si1 0.5000 0.5000 0.2613  5 Cu 2.21-2.32
Si2 0.5000 0.5000 0.7387  5 Cu 2.21-2.32

DOS(E_F) = 3.8 states/eV/cell
formation energy without anion corrections = 29 meV per atom
space group = P4/mmm, No. 123
total magnetization = 0.0 μB/cell

***

No. 3
Compound: SrBeRe2
Source: the Alexandria database
Functional: PBE
Structure: optimized geometry

Lattice parameters (Å, degrees): 9.7407 9.7407 9.7407 16.56 16.56 16.56
Last column: nearest neighbours and their distance in Å.
Element x y z (fractional)
Re1 0.0156 0.0156 0.0156  3 Be 2.54, 6 Re 2.81
Re2 0.4844 0.4844 0.4844  3 Be 2.54, 6 Re 2.81
Be1 0.7500 0.7500 0.7500  6 Re 2.54, 6 Be 2.81
Sr1 0.2500 0.2500 0.2500  6 Sr 2.81

DOS(E_F) = 4.4 states/eV/cell
calculated formation energy = 0.926 eV per atom
space group = R-3m, No. 166
total magnetization = 0.0 μB/cell

***

No. 4
Compound: SrTeSeO6
Source: the Alexandria database
Functional: PBE
Structure: optimized geometry

Lattice parameters (Å, degrees): 5.4766 5.4838 5.3942 90.02 89.98 57.01
Last column: nearest neighbours and their distance in Å.
Element x y z (fractional)
Sr1 0.0057 0.0054 0.0002  6 O 2.51-2.64
Te1 0.3404 0.3397 0.5003  6 O 1.90-2.02
Se1 0.6795 0.6788 0.4998  4 O 1.90-2.04
O1 0.0217 0.3698 0.3003  1 Te 1.98, 1 Se 2.02
O2 0.3681 0.0241 0.7006  1 Te 1.97, 1 Se 2.04
O3 0.5965 0.3621 0.7232  1 Te 1.90
O4 0.9877 0.6380 0.6968  1 Se 1.90, 1 Te 2.02
O5 0.3630 0.5944 0.2763  1 Te 1.90
O6 0.6370 0.9877 0.3025  1 Se 1.90, 1 Te 2.02

DOS(E_F) = 0.0 states/eV/cell
formation energy without anion corrections = -1370 meV per atom
space group = P1, No. 1
total magnetization = 0.0 μB/cell

***

The calculation returns the following volume values, one per record and in order: 32.2; 17.7; 16.4; 15.1 Å³ per atom.
The calculation returns the following calculated total energy values, one per record and in order: -4.617; -4.090; -6.650; -5.598 eV per atom.